Here is a geometry-optimized Y3NiAg structure from Alexandria. Energies are from PBE-GGA.

abc: 5.219 5.219 5.219
angles: 90.00 90.00 90.00
Element x y z (fractional)
1 Y 0.000 0.500 0.000
2 Y 0.000 0.000 0.500
3 Y 0.500 0.000 0.000
4 Ag 0.500 0.500 0.500
5 Ni 0.000 0.000 0.000

polymorph energy (0 for the lowest one)	0.226	eV/atom
magnetic moment	0.000	μB per atom
total DFT energy (no corrections)	-28.163	eV/cell
DFT formation energy	-0.03	eV/atom



Here is a geometry-optimized Y8NiAg2 structure from Alexandria. Energies are from PBE-GGA.

abc: 6.028 8.921 8.921
angles: 131.03 102.48 102.48
Element x y z (fractional)
1 Y 0.781 0.734 0.734
2 Y 0.292 0.616 0.840
3 Y 0.644 0.159 0.387
4 Y 0.979 0.807 0.201
5 Y 0.979 0.201 0.807
6 Y 0.292 0.840 0.616
7 Y 0.644 0.387 0.159
8 Y 0.132 0.271 0.271
9 Ag 0.481 0.284 0.730
10 Ag 0.481 0.730 0.284
11 Ni 0.294 0.006 0.006

polymorph energy (0 for the lowest one)	0.024	eV/atom
magnetic moment	0.000	μB per atom
total DFT energy (no corrections)	-64.602	eV/cell
DFT formation energy	-0.13	eV/atom



Here is a geometry-optimized YNiAg structure from Alexandria. Energies are from PBE-GGA.

abc: 4.414 4.414 3.566
angles: 90.00 90.00 120.00
Element x y z (fractional)
1 Ni 0.667 0.333 0.166
2 Ag 0.000 0.000 0.167
3 Y 0.333 0.667 0.667

magnetic moment	0.000	μB per atom
total DFT energy (no corrections)	-15.746	eV/cell
DFT formation energy	-0.22	eV/atom



no.,D(E_F) (states/eV/f.u.)
1,8.42
2,11.81
3,1.80